Material: Nd2InNi
Method: DFT, PBE
State: optimized geometry

The structure in POSCAR format:
```
Nd2InNi
1.0
-1.1583 -0.3959 -3.6567
6.1663 -0.5474 -1.8940
-3.2210 -8.2393 1.9124
Ni Nd In
2 4 2
Direct
0.2500 0.3799 0.7001
0.7500 0.6201 0.2999
0.2500 0.3254 0.1105
0.2500 0.7602 0.5451
0.7500 0.2398 0.4549
0.7500 0.6746 0.8895
0.2500 0.8644 0.2049
0.7500 0.1356 0.7951
```

Output
Excess energy over the best structure of this formula in the dataset, eV per atom: 0.014
Uncorrected energy, eV/atom: -4.842
DFT formation energy, eV per atom: -0.3283

=====

Material: Nd4In12Ni
Method: DFT, PBE
State: optimized geometry

The structure in POSCAR format:
```
Nd4In12Ni
1.0
7.7522 0.0000 -2.7408
-3.8761 6.7136 -2.7408
0.0000 0.0000 8.2225
In Nd Ni
12 4 1
Direct
0.0000 0.2759 0.2759
0.7500 0.2500 0.5000
0.2500 0.7500 0.5000
0.7500 0.5000 0.2500
0.7241 0.0000 0.7241
0.2759 0.0000 0.2759
0.5000 0.7500 0.2500
0.2759 0.2759 0.0000
0.0000 0.7241 0.7241
0.7241 0.7241 0.0000
0.2500 0.5000 0.7500
0.5000 0.2500 0.7500
0.0000 0.0000 0.5000
0.5000 0.0000 0.0000
0.0000 0.5000 0.0000
0.5000 0.5000 0.5000
0.0000 0.0000 0.0000
```

Output
Uncorrected energy, eV/atom: -3.834
DFT formation energy, eV per atom: -0.4393

=====

no.,total magnetization (μB/atom),calculated density (g cm⁻³),DOS(E_F) (states/eV per cell)
1,0.00,7.18,7.9
2,0.00,7.81,5.2